[1]
Material: SrBe2In2
Method: DFT, PBE-GGA
State: optimized geometry

Cell: 8.004 8.004 3.303 Å, 90.00 90.00 90.00°
Element x y z (fractional)
Sr 0.000 0.000 0.000
Sr 0.500 0.500 0.000
Be 0.107 0.393 0.000
Be 0.393 0.893 0.000
Be 0.607 0.107 0.000
Be 0.893 0.607 0.000
In 0.168 0.668 0.500
In 0.332 0.168 0.500
In 0.668 0.832 0.500
In 0.832 0.332 0.500

Results
For the offset from the most stable computed form, the calculation gives 316 meV per atom. Its space group is P4/mbm, No. 127.

[2]
Material: SrBeIn2
Method: DFT, PBE-GGA
State: optimized geometry

Cell: 5.932 5.932 5.932 Å, 143.23 120.50 72.02°
Element x y z (fractional)
Sr 0.000 0.000 0.000
Be 0.500 0.500 0.000
In 0.304 0.804 0.500
In 0.696 0.196 0.500

Results
Its space group is Immm, No. 71.

[3]
Material: SrBeIn3
Method: DFT, PBE-GGA
State: optimized geometry

Cell: 5.090 5.090 5.090 Å, 90.00 90.00 90.00°
Element x y z (fractional)
Sr 0.000 0.000 0.000
Be 0.500 0.500 0.500
In 0.000 0.500 0.500
In 0.500 0.000 0.500
In 0.500 0.500 0.000

Results
For the offset from the most stable computed form, the calculation gives 0 meV per atom. Its space group is Pm-3m, No. 221.

[4]
Material: SrBeIn2
Method: DFT, PBE-GGA
State: optimized geometry

Cell: 5.481 5.481 5.481 Å, 130.29 112.52 88.30°
Element x y z (fractional)
Sr 0.000 0.000 0.000
Be 0.667 0.167 0.500
In 0.302 0.802 0.500
In 0.570 0.570 0.000

Results
Its space group is Imm2, No. 44.

[5]
Material: SrBeIn2
Method: DFT, PBE-GGA
State: optimized geometry

Cell: 3.574 3.745 7.552 Å, 90.00 90.00 90.00°
Element x y z (fractional)
Sr 0.000 0.000 0.000
Be 0.500 0.500 0.696
In 0.000 0.000 0.565
In 0.500 0.500 0.319

Results
Its space group is Pmm2, No. 25.

[6]
Material: SrBeIn2
Method: DFT, PBE-GGA
State: optimized geometry

Cell: 6.219 6.219 3.397 Å, 101.31 101.31 118.61°
Element x y z (fractional)
Sr 0.000 0.000 0.000
Be 0.500 0.500 0.000
In 0.000 0.500 0.500
In 0.500 0.000 0.500

Results
Its space group is C2/m, No. 12.

[7]
Material: Sr2BeIn2
Method: DFT, PBE-GGA
State: optimized geometry

Cell: 7.398 7.398 5.404 Å, 90.00 90.00 90.00°
Element x y z (fractional)
Sr 0.170 0.330 0.000
Sr 0.330 0.830 0.000
Sr 0.670 0.170 0.000
Sr 0.830 0.670 0.000
Be 0.000 0.000 0.500
Be 0.500 0.500 0.500
In 0.145 0.645 0.500
In 0.355 0.145 0.500
In 0.645 0.855 0.500
In 0.855 0.355 0.500

Results
For the offset from the most stable computed form, the calculation gives 0 meV per atom. Its space group is P4/mbm, No. 127.

[8]
Material: Sr2BeIn
Method: DFT, PBE-GGA
State: optimized geometry

Cell: 6.599 6.599 5.537 Å, 114.73 114.73 32.96°
Element x y z (fractional)
Sr 0.000 0.000 0.000
Sr 0.191 0.191 0.692
Be 0.451 0.451 0.452
In 0.791 0.791 0.291

Results
For the offset from the most stable computed form, the calculation gives 82 meV per atom. Its space group is Cm, No. 8.

[9]
Material: SrBe2In2
Method: DFT, PBE-GGA
State: optimized geometry

Cell: 6.302 6.302 6.302 Å, 139.48 139.48 58.65°
Element x y z (fractional)
Sr 0.000 0.000 0.000
Be 0.398 0.398 0.000
Be 0.602 0.602 0.000
In 0.250 0.750 0.500
In 0.750 0.250 0.500

Results
For the offset from the most stable computed form, the calculation gives 0 meV per atom. Its space group is I4/mmm, No. 139.

[10]
Material: Sr2BeIn
Method: DFT, PBE-GGA
State: optimized geometry

Cell: 5.447 5.447 5.447 Å, 60.00 60.00 60.00°
Element x y z (fractional)
Sr 0.000 0.000 0.000
Sr 0.250 0.250 0.250
Be 0.500 0.500 0.500
In 0.750 0.750 0.750

Results
For the offset from the most stable computed form, the calculation gives 346 meV per atom. Its space group is F-43m, No. 216.

[11]
Material: Sr4BeIn
Method: DFT, PBE-GGA
State: optimized geometry

Cell: 7.108 7.108 7.108 Å, 60.00 60.00 60.00°
Element x y z (fractional)
Sr 0.125 0.125 0.125
Sr 0.125 0.125 0.625
Sr 0.125 0.625 0.125
Sr 0.625 0.125 0.125
Be 0.750 0.750 0.750
In 0.500 0.500 0.500

Results
Its space group is F-43m, No. 216.

[12]
Material: Sr2BeIn
Method: DFT, PBE-GGA
State: optimized geometry

Cell: 3.810 3.863 8.210 Å, 90.00 90.00 90.00°
Element x y z (fractional)
Sr 0.000 0.000 0.224
Sr 0.000 0.000 0.776
Be 0.500 0.500 0.000
In 0.500 0.500 0.500

Results
For the offset from the most stable computed form, the calculation gives 101 meV per atom. Its space group is Pmmm, No. 47.

[13]
Material: SrBe4In
Method: DFT, PBE-GGA
State: optimized geometry

Cell: 5.126 5.126 5.126 Å, 60.00 60.00 60.00°
Element x y z (fractional)
Sr 0.000 0.000 0.000
Be 0.095 0.635 0.635
Be 0.635 0.095 0.635
Be 0.635 0.635 0.095
Be 0.635 0.635 0.635
In 0.250 0.250 0.250

Results
Its space group is F-43m, No. 216.

[14]
Material: Sr2BeIn
Method: DFT, PBE-GGA
State: optimized geometry

Cell: 3.716 3.716 9.313 Å, 90.00 90.00 95.35°
Element x y z (fractional)
Sr 0.000 0.000 0.000
Sr 0.500 0.500 0.388
Be 0.500 0.500 0.770
In 0.000 0.000 0.644

Results
For the offset from the most stable computed form, the calculation gives 227 meV per atom. Its space group is Cmm2, No. 35.

[15]
Material: SrBeIn2
Method: DFT, PBE-GGA
State: optimized geometry

Cell: 6.816 6.816 6.816 Å, 37.43 37.43 37.43°
Element x y z (fractional)
Sr 0.000 0.000 0.000
Be 0.500 0.500 0.500
In 0.214 0.214 0.214
In 0.786 0.786 0.786

Results
Its space group is R-3m, No. 166.

[16]
Material: SrBeIn3
Method: DFT, PBE-GGA
State: optimized geometry

Cell: 6.333 6.333 6.333 Å, 90.00 90.00 90.00°
Element x y z (fractional)
Sr 0.000 0.000 0.000
Be 0.500 0.500 0.500
In 0.000 0.000 0.500
In 0.000 0.500 0.000
In 0.500 0.000 0.000

Results
For the offset from the most stable computed form, the calculation gives 1271 meV per atom. Its space group is Pm-3m, No. 221.

[17]
Material: SrBeIn2
Method: DFT, PBE-GGA
State: optimized geometry

Cell: 4.414 4.424 6.708 Å, 70.76 70.81 60.30°
Element x y z (fractional)
Sr 0.000 0.000 0.000
Be 0.196 0.191 0.414
In 0.545 0.543 0.365
In 0.788 0.787 0.635

Results
Its space group is P1, No. 1.

[18]
Material: Sr2BeIn
Method: DFT, PBE-GGA
State: optimized geometry

Cell: 4.592 6.108 6.108 Å, 49.51 90.00 90.00°
Element x y z (fractional)
Sr 0.000 0.000 0.000
Sr 0.500 0.293 0.293
Be 0.000 0.687 0.687
In 0.500 0.602 0.602

Results
For the offset from the most stable computed form, the calculation gives 25 meV per atom. Its space group is Amm2, No. 38.

[19]
Material: Sr2BeIn
Method: DFT, PBE-GGA
State: optimized geometry

Cell: 7.163 7.163 7.163 Å, 104.32 104.32 120.35°
Element x y z (fractional)
Sr 0.087 0.625 0.962
Sr 0.375 0.337 0.462
Sr 0.663 0.125 0.038
Sr 0.875 0.913 0.538
Be 0.000 0.000 0.000
Be 0.750 0.250 0.500
In 0.250 0.750 0.500
In 0.500 0.500 0.000

Results
For the offset from the most stable computed form, the calculation gives 440 meV per atom. Its space group is I-42d, No. 122.

[20]
Material: SrBeIn2
Method: DFT, PBE-GGA
State: optimized geometry

Cell: 4.598 4.598 4.784 Å, 90.00 90.00 90.00°
Element x y z (fractional)
Sr 0.000 0.000 0.000
Be 0.500 0.500 0.000
In 0.000 0.500 0.500
In 0.500 0.000 0.500

Results
Its space group is P4/mmm, No. 123.

Short version: energy of formation = 0.327 0.144 0.019 0.127 0.120 0.369 0.016 0.047 0.011 0.311 0.745 0.066 0.491 0.192 -0.067 1.290 -0.054 -0.010 0.405 0.190 eV per atom, in the order given.